Entry a
# BaPrIn

BaPrIn after structural relaxation (PBE-GGA, the Alexandria database).

Cell lengths 5.5115, 5.5115, 9.1316 Å; angles 90.05, 90.05, 60.03 degrees
Closest atoms and distances in Å follow each position.
Atoms (fractional coordinates):
Ba: 0.1666 0.1666 0.3604  3 In 3.63, 3 Pr 4.03-4.04
Ba: 0.8334 0.8334 0.6396  3 In 3.63, 3 Pr 4.03-4.04
Pr: 0.1665 0.1665 0.9113  3 In 3.27, 3 Pr 3.57
Pr: 0.8335 0.8335 0.0887  3 In 3.27, 3 Pr 3.57
In: 0.5001 0.5001 0.1691  1 In 3.09, 3 Pr 3.27
In: 0.4999 0.4999 0.8309  1 In 3.09, 3 Pr 3.27

## Properties
For the density of states at the Fermi level, the calculation gives 3.49 states/eV/cell. The magnetic moment is 0.0 μB/f.u. Its space group is C2/m, No. 12.

Entry b
# BaPrIn

BaPrIn after structural relaxation (PBE-GGA, the Alexandria database).

Cell lengths 5.6534, 5.6534, 3.9564 Å; angles 90.00, 90.00, 120.00 degrees
Closest atoms and distances in Å follow each position.
Atoms (fractional coordinates):
Ba: 0.0000 0.0000 0.0000  6 Pr 3.64-4.02, 6 In 3.64-4.02, 2 Ba 3.96
Pr: 0.3333 0.6667 0.4063  3 In 3.35, 3 Ba 3.64
In: 0.6667 0.3333 0.5921  3 Pr 3.35, 3 Ba 3.64

## Properties
For the density of states at the Fermi level, the calculation gives 2.48 states/eV/cell. The magnetic moment is 0.0 μB/f.u. Its space group is P3m1, No. 156.

In terms of stability, entry a leads; the second structure lies 83 meV/atom higher.